Here is a relaxed MnPtOF2 crystal from Alexandria. Energies are from PBE+U.

a b c (Å): 4.438 4.438 3.900
angles (deg): 90.00 90.00 90.00
Atoms (fractional coordinates):
O 0.000 0.000 0.500
F 0.000 0.500 0.000
F 0.500 0.000 0.000
Mn 0.500 0.500 0.500
Pt 0.000 0.000 0.000

## Properties
SG ... No. 123
DFT total energy ... -5.047 eV per atom
Excess energy over the best structure of this formula in the dataset ... 195 meV per atom